(1)
## Si2Mo (GGA-PBE)

Data for a geometry-optimized Si2Mo structure.

a b c (Å): 9.6662 9.6662 9.6662
angles (deg): 161.32 161.32 26.53
Sites, in units of the cell vectors:
Si (0.5705, 0.5705, 0.0000)
Si (0.1795, 0.6795, 0.5000)
Si (0.4295, 0.4295, 0.0000)
Si (0.3205, 0.8205, 0.5000)
Mo (0.0000, 0.0000, 0.0000)
Mo (0.7500, 0.2500, 0.5000)

Output
DOS at the Fermi energy ... 7.04 states/eV/cell
Formation energy without anion corrections ... 130 meV/atom
Total magnetization ... 0.00 μB per formula unit
Space group ... I4_1/amd
Total DFT energy (no corrections) ... -7.10 eV per atom


(2)
## SiMo3 (GGA-PBE)

Data for a geometry-optimized SiMo3 structure.

a b c (Å): 3.9213 3.9213 3.9213
angles (deg): 90.00 90.00 90.00
Sites, in units of the cell vectors:
Mo (0.0000, 0.5000, 0.5000)
Mo (0.5000, 0.0000, 0.5000)
Mo (0.5000, 0.5000, 0.0000)
Si (0.0000, 0.0000, 0.0000)

Output
DOS at the Fermi energy ... 3.71 states/eV/cell
Energy above the lowest structure with this stoichiometry ... 1.407 eV per formula unit
Formation energy without anion corrections ... 27 meV/atom
Total magnetization ... 0.00 μB per formula unit
Space group ... Pm-3m
Total DFT energy (no corrections) ... -9.45 eV per atom